# 1
{"formula": "Rb2PaTlTe4", "functional": "PBE-GGA", "state": "optimized geometry", "magnetic_moment_mub_per_atom": 0.000, "e_tot_ev_per_atom": -4.17, "sg": "P2/m, No. 10", "e_form_raw_ev_per_fu": -7.0, "lattice_angstrom": [[8.508, 0.000, 0.000], [0.000, 4.677, 0.000], [-2.550, 0.000, 8.310]], "species": ["Rb", "Rb", "Pa", "Tl", "Te", "Te", "Te", "Te"], "fractional_positions": [[0.000, 0.000, 0.000], [0.500, 0.500, 0.000], [0.000, 0.500, 0.500], [0.500, 0.000, 0.500], [0.205, 0.000, 0.694], [0.224, 0.500, 0.298], [0.776, 0.500, 0.702], [0.795, 0.000, 0.306]]}



# 2
{"formula": "Rb3Tm2PaTe6", "functional": "PBE-GGA", "state": "optimized geometry", "magnetic_moment_mub_per_atom": 0.154, "e_tot_ev_per_atom": -4.53, "sg": "C2/m, No. 12", "e_form_raw_ev_per_fu": -14.2, "lattice_angstrom": [[3.890, -6.737, 0.000], [3.890, 6.737, 0.000], [-2.594, 0.000, 8.591]], "species": ["Rb", "Rb", "Rb", "Tm", "Tm", "Pa", "Te", "Te", "Te", "Te", "Te", "Te"], "fractional_positions": [[0.000, 0.000, 0.000], [0.334, 0.666, 0.000], [0.666, 0.334, 0.000], [0.167, 0.833, 0.500], [0.833, 0.167, 0.500], [0.500, 0.500, 0.500], [0.095, 0.433, 0.300], [0.228, 0.228, 0.700], [0.433, 0.095, 0.300], [0.567, 0.905, 0.700], [0.772, 0.772, 0.300], [0.905, 0.567, 0.700]]}



# 3
{"formula": "Rb2TmPaTe4", "functional": "PBE-GGA", "state": "optimized geometry", "magnetic_moment_mub_per_atom": 0.247, "e_tot_ev_per_atom": -4.67, "sg": "P2/m, No. 10", "e_form_raw_ev_per_fu": -8.9, "lattice_angstrom": [[7.799, 0.000, 0.000], [0.000, 4.442, 0.000], [-2.534, 0.000, 8.651]], "species": ["Rb", "Rb", "Tm", "Pa", "Te", "Te", "Te", "Te"], "fractional_positions": [[0.000, 0.000, 0.000], [0.500, 0.500, 0.000], [0.000, 0.500, 0.500], [0.500, 0.000, 0.500], [0.229, 0.000, 0.699], [0.260, 0.500, 0.296], [0.740, 0.500, 0.704], [0.771, 0.000, 0.301]]}



# 4
{"formula": "Rb2Tm2PaTe6", "functional": "PBE-GGA", "state": "optimized geometry", "magnetic_moment_mub_per_atom": 0.095, "e_tot_ev_per_atom": -4.79, "sg": "C2/m, No. 12", "e_form_raw_ev_per_fu": -13.4, "lattice_angstrom": [[3.827, -6.631, 0.000], [3.827, 6.631, 0.000], [-2.553, 0.000, 8.805]], "species": ["Rb", "Rb", "Tm", "Tm", "Pa", "Te", "Te", "Te", "Te", "Te", "Te"], "fractional_positions": [[0.166, 0.834, 0.000], [0.834, 0.166, 0.000], [0.332, 0.668, 0.500], [0.668, 0.332, 0.500], [0.000, 0.000, 0.500], [0.067, 0.401, 0.697], [0.272, 0.272, 0.304], [0.401, 0.067, 0.697], [0.599, 0.933, 0.303], [0.728, 0.728, 0.696], [0.933, 0.599, 0.303]]}



# 5
{"formula": "Rb4UPa3Te8", "functional": "PBE-GGA", "state": "optimized geometry", "magnetic_moment_mub_per_atom": 0.561, "e_tot_ev_per_atom": -5.19, "sg": "R-3m, No. 166", "e_form_raw_ev_per_fu": -14.3, "lattice_angstrom": [[4.446, 2.567, 8.801], [-4.446, 2.567, 8.801], [0.000, -5.134, 8.801]], "species": ["Rb", "Rb", "Rb", "Rb", "U", "Pa", "Pa", "Pa", "Te", "Te", "Te", "Te", "Te", "Te", "Te", "Te"], "fractional_positions": [[0.000, 0.000, 0.000], [0.000, 0.500, 0.500], [0.500, 0.000, 0.500], [0.500, 0.500, 0.000], [0.500, 0.500, 0.500], [0.000, 0.000, 0.500], [0.000, 0.500, 0.000], [0.500, 0.000, 0.000], [0.234, 0.736, 0.736], [0.236, 0.236, 0.236], [0.264, 0.264, 0.766], [0.264, 0.766, 0.264], [0.736, 0.234, 0.736], [0.736, 0.736, 0.234], [0.764, 0.764, 0.764], [0.766, 0.264, 0.264]]}



# 6
{"formula": "Rb3UPa3Te8", "functional": "PBE-GGA", "state": "optimized geometry", "magnetic_moment_mub_per_atom": 0.535, "e_tot_ev_per_atom": -5.41, "sg": "R-3m, No. 166", "e_form_raw_ev_per_fu": -13.3, "lattice_angstrom": [[4.386, 2.532, 8.938], [-4.386, 2.532, 8.938], [0.000, -5.065, 8.938]], "species": ["Rb", "Rb", "Rb", "U", "Pa", "Pa", "Pa", "Te", "Te", "Te", "Te", "Te", "Te", "Te", "Te"], "fractional_positions": [[0.000, 0.500, 0.500], [0.500, 0.000, 0.500], [0.500, 0.500, 0.000], [0.500, 0.500, 0.500], [0.000, 0.000, 0.500], [0.000, 0.500, 0.000], [0.500, 0.000, 0.000], [0.230, 0.737, 0.737], [0.235, 0.235, 0.235], [0.263, 0.263, 0.770], [0.263, 0.770, 0.263], [0.737, 0.230, 0.737], [0.737, 0.737, 0.230], [0.765, 0.765, 0.765], [0.770, 0.263, 0.263]]}